# CoAuNO2 | Alexandria | PBE+U | optimized geometry
data_CoAuNO2
_chemical_formula_sum 'Co1 Au1 N1 O2'
_cell_length_a 3.9712
_cell_length_b 3.9712
_cell_length_c 3.4389
_cell_angle_alpha 90.00
_cell_angle_beta 90.00
_cell_angle_gamma 90.00
_symmetry_space_group_name_H-M 'P 4/m m m'
_symmetry_Int_Tables_number 123
_symmetry_space_group_name_Hall '-P 4 2'
loop_
_atom_site_label
_atom_site_type_symbol
_atom_site_fract_x
_atom_site_fract_y
_atom_site_fract_z
Co1 Co 0.0000 0.0000 0.0000
Au1 Au 0.5000 0.5000 0.5000
N1 N 0.0000 0.0000 0.5000
O1 O 0.0000 0.5000 0.0000
# Fermi-level density of states = 4.208 states/eV per cell
# crystal system = tetragonal
# total DFT energy (no corrections) = -4.5605 eV/atom